a.
A plane-wave DFT calculation with PBE was carried out for a relaxed structure of Ba2LaPaO6.

Unit cell a=6.432 b=6.432 c=6.432 alpha=60.00 beta=60.00 gamma=60.00
Positions (direct):
Ba1 0.750 0.750 0.750
Ba2 0.250 0.250 0.250
La1 0.500 0.500 0.500
Pa1 0.000 0.000 0.000
O1 0.240 0.760 0.760
O2 0.760 0.240 0.240
O3 0.760 0.760 0.240
O4 0.240 0.240 0.760
O5 0.760 0.240 0.760
O6 0.240 0.760 0.240

The density of states at the Fermi level is 0.000 states/eV per atom. The value obtained for the calculated volume is 188.1 Å³/f.u.

b.
A plane-wave DFT calculation with PBE was carried out for a relaxed structure of Ba2LaPaO6.

Unit cell a=6.343 b=6.388 c=8.984 alpha=90.00 beta=90.18 gamma=90.00
Positions (direct):
Ba1 0.009 0.969 0.250
Ba2 0.509 0.531 0.750
Ba3 0.991 0.031 0.750
Ba4 0.491 0.469 0.250
La1 0.500 0.000 0.000
La2 0.000 0.500 0.500
Pa1 0.500 0.000 0.500
Pa2 0.000 0.500 0.000
O1 0.272 0.703 0.045
O2 0.772 0.797 0.545
O3 0.728 0.297 0.955
O4 0.228 0.203 0.455
O5 0.298 0.727 0.451
O6 0.798 0.773 0.951
O7 0.702 0.273 0.549
O8 0.202 0.227 0.049
O9 0.913 0.527 0.237
O10 0.413 0.973 0.737
O11 0.087 0.473 0.763
O12 0.587 0.027 0.263

The density of states at the Fermi level is 0.000 states/eV per atom. The value obtained for the calculated volume is 182.0 Å³/f.u.

Stability summary - winner: b; margin: 72 meV per atom.